Below is an optimized crystal structure of K3Tm2PbS6, with properties calculated at the PBE-GGA level.

Structure (POSCAR):
```
K3Tm2PbS6
1.0
3.516 -6.089 0.000
3.516 6.089 0.000
-2.344 0.000 7.376
K Tm Pb S
3 2 1 6
direct
0.000 0.000 0.000 K
0.337 0.663 0.000 K
0.663 0.337 0.000 K
0.167 0.833 0.500 Tm
0.833 0.167 0.500 Tm
0.500 0.500 0.500 Pb
0.084 0.432 0.297 S
0.219 0.219 0.702 S
0.432 0.084 0.297 S
0.568 0.916 0.703 S
0.781 0.781 0.298 S
0.916 0.568 0.703 S
```

Values from the calculation:
magnetization: 0.0 μB/f.u.
N(E_F): 4.4 states/eV/f.u.
formation energy from raw total energies: -141 kJ/mol of atoms